DFT (PBE) results for a geometry-optimized NaSr2TlCl8 structure.

Geometry as POSCAR:
```
NaSr2TlCl8
1.0
6.4716 0.0000 0.0000
0.0000 8.7268 0.0000
-0.0631 0.0000 6.6407
Na Sr Tl Cl
1 2 1 8
Direct
0.0000 0.0000 0.0000
0.5000 0.2482 0.5000
0.5000 0.7518 0.5000
0.0000 0.5000 0.0000
0.2141 0.2756 0.8427
0.2141 0.7244 0.8427
0.2582 0.5000 0.3249
0.2762 0.0000 0.3222
0.7238 0.0000 0.6778
0.7418 0.5000 0.6751
0.7859 0.2756 0.1573
0.7859 0.7244 0.1573
```

Calculated values
The energy relative to the elements, uncorrected is -1.73 eV per atom. Its magnetization is 0.07 μB/cell.

DFT (PBE) results for a geometry-optimized NaSr2TlCl6 structure.

Geometry as POSCAR:
```
NaSr2TlCl6
1.0
3.7649 2.1737 6.6376
-3.7649 2.1737 6.6376
0.0000 -4.3474 6.6376
Na Sr Tl Cl
1 2 1 6
Direct
0.0000 0.0000 0.0000
0.3057 0.3057 0.3057
0.7980 0.7980 0.7980
0.5149 0.5149 0.5149
0.0789 0.4015 0.7037
0.1571 0.9461 0.5941
0.4015 0.7037 0.0789
0.5941 0.1571 0.9461
0.7037 0.0789 0.4015
0.9461 0.5941 0.1571
```

Calculated values
The energy relative to the elements, uncorrected is -2.03 eV per atom. Its magnetization is 0.00 μB/cell.

DFT (PBE) results for a geometry-optimized NaSrTlCl6 structure.

Geometry as POSCAR:
```
NaSrTlCl6
1.0
7.1466 0.0000 0.0000
-3.5733 6.1892 0.0000
0.0000 0.0000 12.2747
Na Sr Tl Cl
2 2 2 12
Direct
0.0000 0.0000 0.0000
0.0000 0.0000 0.5000
0.3333 0.6667 0.2500
0.6667 0.3333 0.7500
0.3333 0.6667 0.7500
0.6667 0.3333 0.2500
0.0295 0.3622 0.6272
0.0295 0.6673 0.8728
0.3327 0.3622 0.8728
0.3327 0.9705 0.6272
0.3622 0.0295 0.1272
0.3622 0.3327 0.3728
0.6378 0.6673 0.6272
0.6378 0.9705 0.8728
0.6673 0.0295 0.3728
0.6673 0.6378 0.1272
0.9705 0.3327 0.1272
0.9705 0.6378 0.3728
```

Calculated values
The energy relative to the elements, uncorrected is -1.51 eV per atom. Its magnetization is 0.00 μB/cell.

DFT (PBE) results for a geometry-optimized Na2SrTlCl8 structure.

Geometry as POSCAR:
```
Na2SrTlCl8
1.0
6.0894 0.0000 0.0000
0.0000 8.5145 0.0000
-0.1041 0.0000 6.7266
Na Sr Tl Cl
2 1 1 8
Direct
0.0000 0.2264 0.0000
0.0000 0.7736 0.0000
0.5000 0.5000 0.5000
0.5000 0.0000 0.5000
0.2504 0.2347 0.3522
0.2504 0.7653 0.3522
0.2711 0.0000 0.8197
0.3054 0.5000 0.9069
0.6946 0.5000 0.0931
0.7289 0.0000 0.1803
0.7496 0.2347 0.6478
0.7496 0.7653 0.6478
```

Calculated values
The energy relative to the elements, uncorrected is -1.34 eV per atom. Its magnetization is 1.06 μB/cell.

DFT (PBE) results for a geometry-optimized NaSrTlCl4 structure.

Geometry as POSCAR:
```
NaSrTlCl4
1.0
-4.3477 4.4714 6.2581
4.3477 -4.4714 6.2581
4.3477 4.4714 -6.2581
Na Sr Tl Cl
2 2 2 8
Direct
0.5000 0.0000 0.0000
0.5000 0.5000 0.5000
0.0000 0.0000 0.0000
0.5000 0.0000 0.5000
0.1100 0.3600 0.7500
0.8900 0.6400 0.2500
0.2609 0.2290 0.4680
0.2609 0.7929 0.0320
0.2678 0.2295 0.0382
0.3087 0.7705 0.5382
0.6913 0.2295 0.4618
0.7322 0.7705 0.9618
0.7391 0.2071 0.9680
0.7391 0.7710 0.5320
```

Calculated values
The energy relative to the elements, uncorrected is -1.84 eV per atom. Its magnetization is 0.00 μB/cell.

DFT (PBE) results for a geometry-optimized NaSr2TmCl8 structure.

Geometry as POSCAR:
```
NaSr2TmCl8
1.0
6.5418 0.0000 0.0000
0.0000 8.7657 0.0000
-0.0959 0.0000 6.5839
Na Sr Tm Cl
1 2 1 8
Direct
0.0000 0.0000 0.0000
0.5000 0.2453 0.5000
0.5000 0.7547 0.5000
0.0000 0.5000 0.0000
0.1945 0.2792 0.8190
0.1945 0.7208 0.8190
0.2794 0.5000 0.2954
0.2917 0.0000 0.3045
0.7083 0.0000 0.6955
0.7206 0.5000 0.7046
0.8055 0.2792 0.1810
0.8055 0.7208 0.1810
```

Calculated values
The energy relative to the elements, uncorrected is -2.29 eV per atom. Its magnetization is 0.00 μB/cell.

DFT (PBE) results for a geometry-optimized NaSrTmCl6 structure.

Geometry as POSCAR:
```
NaSrTmCl6
1.0
7.1653 0.0000 0.0000
-3.5827 6.2054 0.0000
0.0000 0.0000 12.2305
Na Sr Tm Cl
2 2 2 12
Direct
0.0000 0.0000 0.0000
0.0000 0.0000 0.5000
0.3333 0.6667 0.2500
0.6667 0.3333 0.7500
0.3333 0.6667 0.7500
0.6667 0.3333 0.2500
0.0313 0.3646 0.6293
0.0313 0.6667 0.8707
0.3333 0.3646 0.8707
0.3333 0.9687 0.6293
0.3646 0.0313 0.1293
0.3646 0.3333 0.3707
0.6354 0.6667 0.6293
0.6354 0.9687 0.8707
0.6667 0.0313 0.3707
0.6667 0.6354 0.1293
0.9687 0.3333 0.1293
0.9687 0.6354 0.3707
```

Calculated values
The energy relative to the elements, uncorrected is -2.24 eV per atom. Its magnetization is 0.00 μB/cell.

DFT (PBE) results for a geometry-optimized Na2SrVCl6 structure.

Geometry as POSCAR:
```
Na2SrVCl6
1.0
3.4799 2.0091 6.2048
-3.4799 2.0091 6.2048
0.0000 -4.0182 6.2048
Na Sr V Cl
2 1 1 6
Direct
0.0000 0.0000 0.0000
0.4922 0.4922 0.4922
0.1997 0.1997 0.1997
0.6924 0.6924 0.6924
0.0548 0.4462 0.7966
0.3282 0.8960 0.6038
0.4462 0.7966 0.0548
0.6038 0.3282 0.8960
0.7966 0.0548 0.4462
0.8960 0.6038 0.3282
```

Calculated values
The energy relative to the elements, uncorrected is -1.77 eV per atom. Its magnetization is 3.00 μB/cell.

DFT (PBE) results for a geometry-optimized NaSrY2Cl structure.

Geometry as POSCAR:
```
NaSrY2Cl
1.0
6.2913 0.0000 0.0000
0.0000 6.2913 0.0000
0.0000 0.0000 6.2191
Na Sr Y Cl
1 1 2 1
Direct
0.0000 0.0000 0.0000
0.0000 0.0000 0.5000
0.0000 0.5000 0.5000
0.5000 0.0000 0.5000
0.5000 0.5000 0.0000
```

Calculated values
The energy relative to the elements, uncorrected is 0.96 eV per atom. Its magnetization is 2.03 μB/cell.

DFT (PBE) results for a geometry-optimized Na2SrZnCl6 structure.

Geometry as POSCAR:
```
Na2SrZnCl6
1.0
7.2791 0.0000 0.0000
0.0000 7.2791 0.0000
0.0000 0.0000 5.9144
Na Sr Zn Cl
2 1 1 6
Direct
0.0000 0.5000 0.0000
0.5000 0.0000 0.0000
0.0000 0.0000 0.6747
0.5000 0.5000 0.6667
0.0000 0.0000 0.2001
0.2704 0.2704 0.7937
0.2704 0.7296 0.7937
0.5000 0.5000 0.2914
0.7296 0.2704 0.7937
0.7296 0.7296 0.7937
```

Calculated values
The energy relative to the elements, uncorrected is -1.68 eV per atom. Its magnetization is 0.08 μB/cell.

DFT (PBE) results for a geometry-optimized Na2SrZrCl8 structure.

Geometry as POSCAR:
```
Na2SrZrCl8
1.0
6.4465 0.0000 0.0000
0.0000 8.4761 0.0000
-0.2854 0.0000 6.6044
Na Sr Zr Cl
2 1 1 8
Direct
0.0000 0.2438 0.0000
0.0000 0.7562 0.0000
0.5000 0.0000 0.5000
0.5000 0.5000 0.5000
0.2105 0.0000 0.1763
0.2423 0.5000 0.2086
0.2969 0.2884 0.6670
0.2969 0.7116 0.6670
0.7031 0.2884 0.3330
0.7031 0.7116 0.3330
0.7577 0.5000 0.7914
0.7895 0.0000 0.8237
```

Calculated values
The energy relative to the elements, uncorrected is -1.94 eV per atom. Its magnetization is 0.00 μB/cell.

DFT (PBE) results for a geometry-optimized NaTa3Cl structure.

Geometry as POSCAR:
```
NaTa3Cl
1.0
4.7832 0.0000 0.0000
0.0000 4.7832 0.0000
0.0000 0.0000 4.7832
Na Ta Cl
1 3 1
Direct
0.0000 0.0000 0.0000
0.0000 0.0000 0.5000
0.0000 0.5000 0.0000
0.5000 0.0000 0.0000
0.5000 0.5000 0.5000
```

Calculated values
The energy relative to the elements, uncorrected is 2.61 eV per atom. Its magnetization is 0.00 μB/cell. The calculation puts the distance to the lowest polymorph of the same formula at 1445 meV per atom.